The following is a DFT calculation (PBE-GGA) of a geometry-optimized LiPmP2Pd2 structure.

The volume comes out at 100 Å³/cell. The magnetization is 0.0 μB/cell. For the formation energy from the elements, the calculation gives -5.757 eV/f.u.

It has space group P-3m1 (No. 164), with a = 4.1638 Å, b = 4.1638 Å, c = 6.6471 Å, α = 90.00°, β = 90.00° and γ = 120.00°. The inequivalent atoms are Li at (0.0000, 0.0000, 0.0000), Pm at (0.0000, 0.0000, 0.5000), P at (0.3333, 0.6667, 0.7721) and Pd at (0.3333, 0.6667, 0.1686).